1.
The following is a DFT calculation (PBE) of crystalline Be2VSn4 at its relaxed geometry.

Values from the calculation:
SG = I4/mmm
ρ = 5.43 Mg/m³
total energy = -28.77 eV per cell
calculated formation energy = 0.545 eV/atom

Structure (POSCAR):
```
Be2VSn4
1.0
-2.201 4.040 -2.531
-3.390 -3.286 -2.298
-6.645 1.147 2.163
Be Sn V
2 4 1
direct
0.586 0.586 0.828 Be
0.414 0.414 0.172 Be
0.786 0.786 0.428 Sn
0.214 0.214 0.572 Sn
0.000 0.500 0.000 Sn
0.500 0.000 0.000 Sn
0.000 0.000 0.000 V
```

2.
The following is a DFT calculation (PBE) of crystalline Be2V2Sn at its relaxed geometry.

Values from the calculation:
SG = I4/mmm
ρ = 5.49 Mg/m³
total energy = -27.01 eV per cell
calculated formation energy = 0.537 eV/atom
ΔE to the lowest computed polymorph = 510.0 meV/atom

Structure (POSCAR):
```
Be2V2Sn
1.0
3.531 0.000 0.000
0.000 3.531 0.000
1.766 1.766 5.792
Be Sn V
2 1 2
direct
0.750 0.250 0.500 Be
0.250 0.750 0.500 Be
0.000 0.000 0.000 Sn
0.401 0.401 0.199 V
0.599 0.599 0.801 V
```

3.
The following is a DFT calculation (PBE) of crystalline Be3VSn at its relaxed geometry.

Values from the calculation:
SG = Pm-3m
ρ = 3.62 Mg/m³
total energy = -16.73 eV per cell
calculated formation energy = 1.515 eV/atom
ΔE to the lowest computed polymorph = 270.9 meV/atom

Structure (POSCAR):
```
Be3VSn
1.0
-0.522 4.425 0.521
-4.104 -0.681 1.678
1.734 -0.281 4.127
Be Sn V
3 1 1
direct
0.000 0.500 0.000 Be
0.000 0.000 0.500 Be
0.500 0.000 0.000 Be
0.000 0.000 0.000 Sn
0.500 0.500 0.500 V
```

4.
The following is a DFT calculation (PBE) of crystalline Be4VSn at its relaxed geometry.

Values from the calculation:
SG = F-43m
ρ = 4.97 Mg/m³
total energy = -27.01 eV per cell
calculated formation energy = 0.169 eV/atom

Structure (POSCAR):
```
Be4VSn
1.0
4.599 0.000 0.000
2.299 3.982 0.000
2.299 1.327 3.755
Be Sn V
4 1 1
direct
0.622 0.622 0.135 Be
0.622 0.135 0.622 Be
0.622 0.622 0.622 Be
0.135 0.622 0.622 Be
0.000 0.000 0.000 Sn
0.250 0.250 0.250 V
```

5.
The following is a DFT calculation (PBE) of crystalline Be2V2Sn at its relaxed geometry.

Values from the calculation:
SG = P4/mbm
ρ = 5.73 Mg/m³
total energy = -55.99 eV per cell
calculated formation energy = 0.339 eV/atom
ΔE to the lowest computed polymorph = 311.9 meV/atom

Structure (POSCAR):
```
Be2V2Sn
1.0
-3.150 2.522 -5.553
4.357 -3.442 -4.035
-1.825 -2.300 -0.009
Be Sn V
4 2 4
direct
0.178 0.678 0.500 Be
0.678 0.822 0.500 Be
0.822 0.322 0.500 Be
0.322 0.178 0.500 Be
0.000 0.000 0.000 Sn
0.500 0.500 0.000 Sn
0.381 0.881 0.000 V
0.881 0.619 0.000 V
0.619 0.119 0.000 V
0.119 0.381 0.000 V
```

6.
The following is a DFT calculation (PBE) of crystalline BeSn3W at its relaxed geometry.

Values from the calculation:
SG = Pm-3m
ρ = 6.21 Mg/m³
total energy = -24.18 eV per cell
calculated formation energy = 0.902 eV/atom
ΔE to the lowest computed polymorph = 0.0 meV/atom

Structure (POSCAR):
```
BeSn3W
1.0
5.276 0.000 0.000
0.000 5.276 0.000
0.000 0.000 5.276
Be Sn W
1 3 1
direct
0.500 0.500 0.500 Be
0.000 0.500 0.000 Sn
0.000 0.000 0.500 Sn
0.500 0.000 0.000 Sn
0.000 0.000 0.000 W
```

7.
The following is a DFT calculation (PBE) of crystalline BeSn2W2 at its relaxed geometry.

Values from the calculation:
SG = P4/mbm
ρ = 11.42 Mg/m³
total energy = -69.94 eV per cell
calculated formation energy = 0.534 eV/atom
ΔE to the lowest computed polymorph = 0.0 meV/atom

Structure (POSCAR):
```
BeSn2W2
1.0
-3.064 1.085 -5.436
0.763 -6.070 -1.641
-3.859 -1.018 1.972
Be Sn W
2 4 4
direct
0.000 0.000 0.000 Be
0.500 0.500 0.000 Be
0.170 0.670 0.500 Sn
0.670 0.830 0.500 Sn
0.830 0.330 0.500 Sn
0.330 0.170 0.500 Sn
0.354 0.854 0.000 W
0.854 0.646 0.000 W
0.646 0.146 0.000 W
0.146 0.354 0.000 W
```

8.
The following is a DFT calculation (PBE) of crystalline BeSn2W2 at its relaxed geometry.

Values from the calculation:
SG = I4/mmm
ρ = 10.22 Mg/m³
total energy = -31.71 eV per cell
calculated formation energy = 1.186 eV/atom
ΔE to the lowest computed polymorph = 651.7 meV/atom

Structure (POSCAR):
```
BeSn2W2
1.0
-2.628 -2.167 -1.738
1.432 -3.107 1.709
-4.845 -1.703 5.244
Be Sn W
1 2 2
direct
0.000 0.000 0.000 Be
0.750 0.250 0.500 Sn
0.250 0.750 0.500 Sn
0.411 0.411 0.179 W
0.589 0.589 0.821 W
```

9.
The following is a DFT calculation (PBE) of crystalline BeSn3W at its relaxed geometry.

Values from the calculation:
SG = Pm-3m
ρ = 8.05 Mg/m³
total energy = -22.73 eV per cell
calculated formation energy = 1.191 eV/atom
ΔE to the lowest computed polymorph = 289.4 meV/atom

Structure (POSCAR):
```
BeSn3W
1.0
4.839 0.000 0.000
0.000 4.839 0.000
0.000 0.000 4.839
Be Sn W
1 3 1
direct
0.000 0.000 0.000 Be
0.000 0.500 0.000 Sn
0.000 0.000 0.500 Sn
0.500 0.000 0.000 Sn
0.500 0.500 0.500 W
```

10.
The following is a DFT calculation (PBE) of crystalline Be2SnW2 at its relaxed geometry.

Values from the calculation:
SG = P4/mbm
ρ = 12.51 Mg/m³
total energy = -72.56 eV per cell
calculated formation energy = 0.217 eV/atom

Structure (POSCAR):
```
Be2SnW2
1.0
-4.099 -4.279 -2.072
0.597 -3.178 5.381
-2.554 1.795 1.343
Be Sn W
4 2 4
direct
0.386 0.886 0.000 Be
0.886 0.614 0.000 Be
0.614 0.114 0.000 Be
0.114 0.386 0.000 Be
0.000 0.000 0.000 Sn
0.500 0.500 0.000 Sn
0.172 0.672 0.500 W
0.672 0.828 0.500 W
0.828 0.328 0.500 W
0.328 0.172 0.500 W
```

11.
The following is a DFT calculation (PBE) of crystalline YBe2Sn2 at its relaxed geometry.

Values from the calculation:
SG = P4/mbm
ρ = 5.90 Mg/m³
total energy = -43.44 eV per cell
calculated formation energy = 0.041 eV/atom

Structure (POSCAR):
```
YBe2Sn2
1.0
7.225 0.000 0.000
0.000 7.225 0.000
0.000 0.000 3.716
Y Be Sn
2 4 4
direct
0.000 0.000 0.000 Y
0.500 0.500 0.000 Y
0.393 0.893 0.000 Be
0.893 0.607 0.000 Be
0.607 0.107 0.000 Be
0.107 0.393 0.000 Be
0.168 0.668 0.500 Sn
0.668 0.832 0.500 Sn
0.832 0.332 0.500 Sn
0.332 0.168 0.500 Sn
```

12.
The following is a DFT calculation (PBE) of crystalline YBeSn2 at its relaxed geometry.

Values from the calculation:
SG = I-42d
ρ = 5.11 Mg/m³
total energy = -35.79 eV per cell
calculated formation energy = 0.075 eV/atom

Structure (POSCAR):
```
YBeSn2
1.0
5.183 0.000 0.000
0.000 5.183 0.000
2.592 2.592 8.112
Y Be Sn
2 2 4
direct
0.000 0.000 0.000 Y
0.750 0.250 0.500 Y
0.500 0.500 0.000 Be
0.250 0.750 0.500 Be
0.506 0.125 0.250 Sn
0.244 0.625 0.250 Sn
0.375 0.494 0.750 Sn
0.875 0.756 0.750 Sn
```

13.
The following is a DFT calculation (PBE) of crystalline YBeSn3 at its relaxed geometry.

Values from the calculation:
SG = Pm-3m
ρ = 3.84 Mg/m³
total energy = -16.98 eV per cell
calculated formation energy = 1.045 eV/atom
ΔE to the lowest computed polymorph = 949.5 meV/atom

Structure (POSCAR):
```
YBeSn3
1.0
-0.977 -5.701 0.553
5.336 -0.702 2.189
-2.081 0.877 5.354
Y Be Sn
1 1 3
direct
0.000 0.000 0.000 Y
0.500 0.500 0.500 Be
0.000 0.500 0.000 Sn
0.000 0.000 0.500 Sn
0.500 0.000 0.000 Sn
```

14.
The following is a DFT calculation (PBE) of crystalline YBe2Sn2 at its relaxed geometry.

Values from the calculation:
SG = I4/mmm
ρ = 5.87 Mg/m³
total energy = -22.17 eV per cell
calculated formation energy = -0.049 eV/atom

Structure (POSCAR):
```
YBe2Sn2
1.0
4.413 0.000 0.000
0.000 4.413 0.000
2.207 2.207 5.004
Y Be Sn
1 2 2
direct
0.000 0.000 0.000 Y
0.395 0.395 0.210 Be
0.605 0.605 0.790 Be
0.750 0.250 0.500 Sn
0.250 0.750 0.500 Sn
```

15.
The following is a DFT calculation (PBE) of crystalline YBeSn3 at its relaxed geometry.

Values from the calculation:
SG = Pm-3m
ρ = 6.07 Mg/m³
total energy = -21.72 eV per cell
calculated formation energy = 0.095 eV/atom
ΔE to the lowest computed polymorph = 0.0 meV/atom

Structure (POSCAR):
```
YBeSn3
1.0
4.989 0.000 0.000
0.000 4.989 0.000
0.000 0.000 4.989
Y Be Sn
1 1 3
direct
0.500 0.500 0.500 Y
0.000 0.000 0.000 Be
0.000 0.500 0.000 Sn
0.000 0.000 0.500 Sn
0.500 0.000 0.000 Sn
```

16.
The following is a DFT calculation (PBE) of crystalline Y2Be2Sn at its relaxed geometry.

Values from the calculation:
SG = P4/mbm
ρ = 5.19 Mg/m³
total energy = -51.87 eV per cell
calculated formation energy = -0.311 eV/atom

Structure (POSCAR):
```
Y2Be2Sn
1.0
6.798 0.000 0.000
0.000 6.798 0.000
0.000 0.000 4.357
Y Be Sn
4 4 2
direct
0.172 0.672 0.500 Y
0.672 0.828 0.500 Y
0.828 0.328 0.500 Y
0.328 0.172 0.500 Y
0.385 0.885 0.000 Be
0.885 0.615 0.000 Be
0.615 0.115 0.000 Be
0.115 0.385 0.000 Be
0.000 0.000 0.000 Sn
0.500 0.500 0.000 Sn
```

17.
The following is a DFT calculation (PBE) of crystalline Be2Zn2Sn at its relaxed geometry.

Values from the calculation:
SG = P4/mbm
ρ = 5.87 Mg/m³
total energy = -24.11 eV per cell
calculated formation energy = 0.389 eV/atom
ΔE to the lowest computed polymorph = 46.0 meV/atom

Structure (POSCAR):
```
Be2Zn2Sn
1.0
-2.657 0.973 -6.378
-2.798 -6.389 0.191
-2.589 1.172 1.257
Be Zn Sn
4 4 2
direct
0.387 0.887 0.000 Be
0.887 0.613 0.000 Be
0.613 0.113 0.000 Be
0.113 0.387 0.000 Be
0.173 0.673 0.500 Zn
0.673 0.827 0.500 Zn
0.827 0.327 0.500 Zn
0.327 0.173 0.500 Zn
0.000 0.000 0.000 Sn
0.500 0.500 0.000 Sn
```

18.
The following is a DFT calculation (PBE) of crystalline Be3ZnSn at its relaxed geometry.

Values from the calculation:
SG = Pm-3m
ρ = 4.50 Mg/m³
total energy = -12.69 eV per cell
calculated formation energy = 0.754 eV/atom
ΔE to the lowest computed polymorph = 0.0 meV/atom

Structure (POSCAR):
```
Be3ZnSn
1.0
4.272 0.000 0.000
0.000 4.272 0.000
0.000 0.000 4.272
Be Zn Sn
3 1 1
direct
0.000 0.500 0.000 Be
0.000 0.000 0.500 Be
0.500 0.000 0.000 Be
0.000 0.000 0.000 Zn
0.500 0.500 0.500 Sn
```

19.
The following is a DFT calculation (PBE) of crystalline BeZn2Sn2 at its relaxed geometry.

Values from the calculation:
SG = P4/mbm
ρ = 5.90 Mg/m³
total energy = -24.64 eV per cell
calculated formation energy = 0.391 eV/atom
ΔE to the lowest computed polymorph = 55.1 meV/atom

Structure (POSCAR):
```
BeZn2Sn2
1.0
-3.114 0.257 6.049
4.077 -4.940 2.309
3.010 3.146 1.416
Be Zn Sn
2 4 4
direct
0.000 0.000 0.000 Be
0.500 0.500 0.000 Be
0.145 0.645 0.500 Zn
0.645 0.855 0.500 Zn
0.855 0.355 0.500 Zn
0.355 0.145 0.500 Zn
0.335 0.835 0.000 Sn
0.835 0.665 0.000 Sn
0.665 0.165 0.000 Sn
0.165 0.335 0.000 Sn
```

20.
The following is a DFT calculation (PBE) of crystalline Be2Zn2Sn at its relaxed geometry.

Values from the calculation:
SG = P4/mbm
ρ = 5.87 Mg/m³
total energy = -23.91 eV per cell
calculated formation energy = 0.409 eV/atom
ΔE to the lowest computed polymorph = 66.3 meV/atom

Structure (POSCAR):
```
Be2Zn2Sn
1.0
7.501 0.000 0.000
0.000 7.501 0.000
0.000 0.000 2.689
Be Zn Sn
4 4 2
direct
0.162 0.662 0.500 Be
0.662 0.838 0.500 Be
0.838 0.338 0.500 Be
0.338 0.162 0.500 Be
0.371 0.871 0.000 Zn
0.871 0.629 0.000 Zn
0.629 0.129 0.000 Zn
0.129 0.371 0.000 Zn
0.000 0.000 0.000 Sn
0.500 0.500 0.000 Sn
```